a:
VCrRh6 (PBE-GGA, relaxed); SG = C2/m (12)
1.0
2.672 -4.786 0.000
2.672 4.786 0.000
-2.661 0.000 4.629
V Cr Rh
1 1 6
Direct
0.000 0.000 0.000
0.500 0.500 0.500
0.033 0.471 0.249
0.257 0.257 0.743
0.471 0.033 0.249
0.529 0.967 0.751
0.743 0.743 0.257
0.967 0.529 0.751

---

b:
VCrRh6 (PBE-GGA, relaxed); SG = P4/mmm (123)
1.0
5.380 0.000 0.000
0.000 5.380 0.000
0.000 0.000 3.811
V Cr Rh
1 1 6
Direct
0.000 0.000 0.000
0.500 0.500 0.000
0.000 0.500 0.000
0.250 0.250 0.500
0.250 0.750 0.500
0.500 0.000 0.000
0.750 0.250 0.500
0.750 0.750 0.500

---

How do the energies compare? Relative to the most stable structure, in kJ/mol of atoms: a 47.4; b 0.0.

---

a:
V3CrRh (PBE-GGA, relaxed); SG = C2/m (12)
1.0
6.301 -2.070 0.000
6.301 2.070 0.000
-1.535 0.000 5.032
V Cr Rh
6 2 2
Direct
0.100 0.100 0.389
0.104 0.104 0.890
0.294 0.294 0.698
0.706 0.706 0.302
0.896 0.896 0.110
0.900 0.900 0.611
0.294 0.294 0.197
0.706 0.706 0.803
0.500 0.500 0.000
0.500 0.500 0.500

---

b:
V3CrRh (PBE-GGA, relaxed); SG = P2_1/c (14)
1.0
7.105 0.000 0.000
0.000 4.761 0.000
-1.350 0.000 7.940
V Cr Rh
12 4 4
Direct
0.035 0.230 0.079
0.035 0.270 0.579
0.238 0.125 0.366
0.238 0.375 0.866
0.350 0.614 0.530
0.350 0.886 0.030
0.650 0.114 0.970
0.650 0.386 0.470
0.762 0.625 0.134
0.762 0.875 0.634
0.965 0.730 0.421
0.965 0.770 0.921
0.152 0.687 0.207
0.152 0.813 0.707
0.848 0.187 0.293
0.848 0.313 0.793
0.440 0.123 0.670
0.440 0.377 0.170
0.560 0.623 0.830
0.560 0.877 0.330

---

How do the energies compare? Relative to the most stable structure, in kJ/mol of atoms: a 0.0; b 14.4.

---

a:
VCrRh4 (PBE-GGA, relaxed); SG = P4/mmm (123)
1.0
4.031 0.000 0.000
0.000 4.031 0.000
0.000 0.000 5.699
V Cr Rh
1 1 4
Direct
0.000 0.000 0.000
0.500 0.500 0.500
0.000 0.500 0.252
0.000 0.500 0.748
0.500 0.000 0.252
0.500 0.000 0.748

---

b:
VCrRh4 (PBE-GGA, relaxed); SG = Cm (8)
1.0
4.897 -1.358 0.000
4.897 1.358 0.000
-1.763 0.000 6.189
V Cr Rh
1 1 4
Direct
0.000 0.000 0.000
0.625 0.625 0.706
0.277 0.277 0.034
0.348 0.348 0.668
0.671 0.671 0.315
0.955 0.955 0.389

---

How do the energies compare? Relative to the most stable structure, in kJ/mol of atoms: a 20.9; b 0.0.

---

a:
CrRh2W (PBE-GGA, relaxed); SG = P4mm (99)
1.0
2.718 0.000 0.000
0.000 2.718 0.000
0.000 0.000 7.660
Cr Rh W
1 2 1
Direct
0.000 0.000 0.000
0.000 0.000 0.491
0.500 0.500 0.218
0.500 0.500 0.741

---

b:
CrRh2W (PBE-GGA, relaxed); SG = C2/m (12)
1.0
4.515 -1.362 0.000
4.515 1.362 0.000
-0.836 0.000 4.586
Cr Rh W
1 2 1
Direct
0.000 0.000 0.000
0.254 0.254 0.756
0.746 0.746 0.244
0.500 0.500 0.500

---

c:
CrRh2W (PBE-GGA, relaxed); SG = R3m (160)
1.0
1.368 0.790 8.845
-1.368 0.790 8.845
0.000 -1.580 8.845
Cr Rh W
1 2 1
Direct
0.000 0.000 0.000
0.497 0.497 0.497
0.740 0.740 0.740
0.245 0.245 0.245

---

d:
CrRh2W (PBE-GGA, relaxed); SG = Cmmm (65)
1.0
2.701 -3.832 0.000
2.701 3.832 0.000
0.000 0.000 2.721
Cr Rh W
1 2 1
Direct
0.000 0.000 0.000
0.000 0.500 0.500
0.500 0.000 0.500
0.500 0.500 0.000

---

How do the energies compare? Relative to the most stable structure, in kJ/mol of atoms: a 5.6; b 9.7; c 14.4; d 0.0.

---

a:
CrRh2W (PBE-GGA, relaxed); SG = P4mm (99)
1.0
3.143 0.000 0.000
0.000 3.143 0.000
0.000 0.000 5.795
Cr Rh W
1 2 1
Direct
0.000 0.000 0.000
0.000 0.000 0.490
0.500 0.500 0.193
0.500 0.500 0.740

---

b:
CrRh2W (PBE-GGA, relaxed); SG = P2/m (10)
1.0
4.657 0.000 0.000
0.000 2.729 0.000
-1.528 0.000 4.450
Cr Rh W
1 2 1
Direct
0.000 0.000 0.000
0.000 0.500 0.500
0.500 0.000 0.500
0.500 0.500 0.000

---

c:
CrRh2W (PBE-GGA, relaxed); SG = Fmmm (69)
1.0
0.000 2.705 3.840
2.700 0.000 3.840
2.700 2.705 0.000
Cr Rh W
1 2 1
Direct
0.000 0.000 0.000
0.250 0.250 0.250
0.750 0.750 0.750
0.500 0.500 0.500

---

d:
CrRh2W (PBE-GGA, relaxed); SG = P4/mmm (123)
1.0
2.709 0.000 0.000
0.000 2.709 0.000
0.000 0.000 7.636
Cr Rh W
1 2 1
Direct
0.000 0.000 0.000
0.500 0.500 0.236
0.500 0.500 0.764
0.000 0.000 0.500

---

How do the energies compare? Relative to the most stable structure, in kJ/mol of atoms: a 17.8; b 13.3; c 0.0; d 3.4.

---

a:
CrRh2W (PBE-GGA, relaxed); SG = Cm (8)
1.0
4.458 -1.365 0.000
4.458 1.365 0.000
-0.942 0.000 4.650
Cr Rh W
1 2 1
Direct
0.000 0.000 0.000
0.257 0.257 0.808
0.499 0.499 0.520
0.744 0.744 0.292

---

b:
CrRh2W (PBE-GGA, relaxed); SG = Pmmm (47)
1.0
2.714 0.000 0.000
0.000 3.819 0.000
0.000 0.000 5.415
Cr Rh W
1 2 1
Direct
0.000 0.000 0.000
0.500 0.500 0.242
0.500 0.500 0.758
0.000 0.000 0.500

---

c:
CrRh2W (PBE-GGA, relaxed); SG = F-43m (216)
1.0
0.000 3.052 3.052
3.052 0.000 3.052
3.052 3.052 0.000
Cr Rh W
1 2 1
Direct
0.000 0.000 0.000
0.250 0.250 0.250
0.500 0.500 0.500
0.750 0.750 0.750

---

How do the energies compare? Relative to the most stable structure, in kJ/mol of atoms: a 6.2; b 0.0; c 25.6.

---

a:
CrRh2W (PBE-GGA, relaxed); SG = R-3m (166)
1.0
1.367 0.789 8.739
-1.367 0.789 8.739
0.000 -1.579 8.739
Cr Rh W
1 2 1
Direct
0.000 0.000 0.000
0.254 0.254 0.254
0.746 0.746 0.746
0.500 0.500 0.500

---

b:
CrRh2W (PBE-GGA, relaxed); SG = I-42d (122)
1.0
-1.878 1.878 8.749
1.878 -1.878 8.749
1.878 1.878 -8.749
Cr Rh W
2 4 2
Direct
0.000 0.000 0.000
0.750 0.250 0.500
0.114 0.625 0.989
0.375 0.364 0.489
0.636 0.125 0.011
0.875 0.886 0.511
0.250 0.750 0.500
0.500 0.500 0.000

---

c:
CrRh2W (PBE-GGA, relaxed); SG = Fm-3m (225)
1.0
0.000 3.097 3.097
3.097 0.000 3.097
3.097 3.097 0.000
Cr Rh W
1 2 1
Direct
0.000 0.000 0.000
0.250 0.250 0.250
0.750 0.750 0.750
0.500 0.500 0.500

---

How do the energies compare? Relative to the most stable structure, in kJ/mol of atoms: a 0.0; b 45.3; c 9.9.

---

a:
CrRh2W (PBE-GGA, relaxed); SG = I-4m2 (119)
1.0
-1.920 1.920 3.856
1.920 -1.920 3.856
1.920 1.920 -3.856
Cr Rh W
1 2 1
Direct
0.000 0.000 0.000
0.500 0.500 0.000
0.750 0.250 0.500
0.250 0.750 0.500

---

b:
CrRh2W (PBE-GGA, relaxed); SG = Pmm2 (25)
1.0
2.730 0.000 0.000
0.000 4.342 0.000
0.000 0.000 4.752
Cr Rh W
1 2 1
Direct
0.000 0.000 0.000
0.500 0.000 0.502
0.500 0.500 0.855
0.000 0.500 0.337

---

How do the energies compare? Relative to the most stable structure, in kJ/mol of atoms: a 6.2; b 0.0.

---

a:
YCrRh3 (PBE-GGA, relaxed); SG = Pm-3m (221)
1.0
4.875 0.000 0.000
0.000 4.875 0.000
0.000 0.000 4.875
Y Cr Rh
1 1 3
Direct
0.000 0.000 0.000
0.500 0.500 0.500
0.000 0.000 0.500
0.000 0.500 0.000
0.500 0.000 0.000

---

b:
YCrRh3 (PBE-GGA, relaxed); SG = Pm-3m (221)
1.0
4.523 0.000 0.000
0.000 4.523 0.000
0.000 0.000 4.523
Y Cr Rh
1 1 3
Direct
0.000 0.000 0.000
0.500 0.500 0.500
0.000 0.500 0.500
0.500 0.000 0.500
0.500 0.500 0.000

---

How do the energies compare? Relative to the most stable structure, in kJ/mol of atoms: a 123.9; b 0.0.

---

a:
YCrRh (PBE-GGA, relaxed); SG = F-43m (216)
1.0
0.000 3.214 3.214
3.214 0.000 3.214
3.214 3.214 0.000
Y Cr Rh
1 1 1
Direct
0.000 0.000 0.000
0.500 0.500 0.500
0.750 0.750 0.750

---

b:
YCrRh (PBE-GGA, relaxed); SG = P-6m2 (187)
1.0
4.368 0.000 0.000
-2.184 3.783 0.000
0.000 0.000 3.681
Y Cr Rh
1 1 1
Direct
0.000 0.000 0.000
0.667 0.333 0.500
0.333 0.667 0.500

---

c:
YCrRh (PBE-GGA, relaxed); SG = F-43m (216)
1.0
0.000 3.232 3.232
3.232 0.000 3.232
3.232 3.232 0.000
Y Cr Rh
1 1 1
Direct
0.000 0.000 0.000
0.250 0.250 0.250
0.750 0.750 0.750

---

How do the energies compare? Relative to the most stable structure, in kJ/mol of atoms: a 14.5; b 0.0; c 66.4.